Record 1
# PBE Ta2BeBr, relaxed
# offset from the most stable computed form	414	meV/atom
# Fermi-level density of states	4.57	states/eV per cell
# total DFT energy (no corrections)	-6.65	eV per atom
# total magnetization	0.00	Bohr magnetons per cell
# formation energy without anion corrections	2.5	eV/f.u.
data_Ta2BeBr
_space_group_name_H-M_alt 'I m m m'
_space_group_IT_number 71
_space_group_name_Hall '-I 2 2'
_cell_length_a 3.1699
_cell_length_b 4.9116
_cell_length_c 8.6193
_cell_angle_alpha 90.00
_cell_angle_beta 90.00
_cell_angle_gamma 90.00
loop_
_atom_site_label
_atom_site_type_symbol
_atom_site_fract_x
_atom_site_fract_y
_atom_site_fract_z
Ta1 Ta 0.0000 0.0000 0.2268
Be1 Be 0.0000 0.5000 0.5000
Br1 Br 0.0000 0.5000 0.0000

---

Record 2
# PBE TaBeBr2, relaxed
# offset from the most stable computed form	29	meV/atom
# Fermi-level density of states	4.21	states/eV per cell
# total DFT energy (no corrections)	-4.81	eV per atom
# total magnetization	2.92	Bohr magnetons per cell
# formation energy without anion corrections	-0.3	eV/f.u.
data_TaBeBr2
_space_group_name_H-M_alt 'R 3 m'
_space_group_IT_number 160
_space_group_name_Hall 'R 3 -2"'
_cell_length_a 3.2692
_cell_length_b 3.2692
_cell_length_c 28.0924
_cell_angle_alpha 90.00
_cell_angle_beta 90.00
_cell_angle_gamma 120.00
loop_
_atom_site_label
_atom_site_type_symbol
_atom_site_fract_x
_atom_site_fract_y
_atom_site_fract_z
Ta1 Ta 0.0000 0.0000 0.0000
Be1 Be 0.0000 0.0000 0.2593
Br1 Br 0.0000 0.0000 0.5433
Br2 Br 0.0000 0.0000 0.7328

---

Record 3
# PBE TaBe2Br, relaxed
# offset from the most stable computed form	249	meV/atom
# Fermi-level density of states	2.46	states/eV per cell
# total DFT energy (no corrections)	-4.62	eV per atom
# total magnetization	0.00	Bohr magnetons per cell
# formation energy without anion corrections	2.5	eV/f.u.
data_TaBe2Br
_space_group_name_H-M_alt 'I m m 2'
_space_group_IT_number 44
_cell_length_a 3.0031
_cell_length_b 4.5698
_cell_length_c 8.2851
_cell_angle_alpha 90.00
_cell_angle_beta 90.00
_cell_angle_gamma 90.00
loop_
_space_group_symop_operation_xyz
'x,y,z'
'-x,-y,z'
'-x,y,z'
'x,-y,z'
'x+1/2,y+1/2,z+1/2'
'-x+1/2,-y+1/2,z+1/2'
'-x+1/2,y+1/2,z+1/2'
'x+1/2,-y+1/2,z+1/2'
loop_
_atom_site_label
_atom_site_type_symbol
_atom_site_fract_x
_atom_site_fract_y
_atom_site_fract_z
Ta1 Ta 0.0000 0.0000 0.0000
Be1 Be 0.0000 0.0000 0.4513
Be2 Be 0.0000 0.5000 0.7616
Br1 Br 0.0000 0.5000 0.1955